Below is a PBEsol-optimized structure of Be2Pt, with properties calculated at the meta-GGA SCAN level.

It has space group P6/mmm (No. 191), with a = 3.7090 Å, b = 3.7090 Å, c = 2.6026 Å, α = 90.00°, β = 90.00° and γ = 120.00°. Symmetry generates all atoms from Be at (0.3333, 0.6667, 0.0000) and Pt at (0.0000, 0.0000, 0.5000).

The uncorrected energy is -81.0 eV per formula unit. The value obtained for the energy above the lowest structure with this stoichiometry is 149 meV/atom. The value obtained for the calculated formation energy is -0.6932 eV/atom. Its volume is 10.34 A^3/atom.



Below is a PBEsol-optimized structure of Ta2CdSi, with properties calculated at the meta-GGA SCAN level.

It has space group Immm (No. 71), with a = 3.623 Å, b = 4.593 Å, c = 8.135 Å, α = 90.00°, β = 90.00° and γ = 90.00°. Symmetry generates all atoms from Ta at (0.000, 0.000, 0.227), Cd at (0.000, 0.500, 0.000) and Si at (0.000, 0.500, 0.500).

The uncorrected energy is -173.1 eV per formula unit. Its volume is 16.92 A^3/atom. The calculation puts the uncorrected formation energy at 0.119 eV/atom.



Below is a PBEsol-optimized structure of HgHS2, with properties calculated at the meta-GGA SCAN level.

It has space group R-3m (No. 166, hexagonal axes), with a = 3.2231 Å, b = 3.2231 Å, c = 20.9878 Å, α = 90.00°, β = 90.00° and γ = 120.00°. Symmetry generates all atoms from Hg at (0.0000, 0.0000, 0.0000), H at (0.0000, 0.0000, 0.5000) and S at (0.0000, 0.0000, 0.1140).

The uncorrected energy is -87.6 eV per formula unit. Its volume is 15.74 A^3/atom.